Density functional theory data (PBE+U) for a relaxed NaNpMnO6 crystal.

Computed properties:
space group: P-31c
E_tot: -7.5718 eV per atom

Lattice parameters (Å, degrees): 5.333 5.333 8.830 90.00 90.00 120.00
Atoms (fractional coordinates):
Na: 0.333 0.667 0.250
O: 0.284 0.952 0.620
O: 0.332 0.048 0.120
O: 0.952 0.284 0.120
O: 0.716 0.668 0.120
O: 0.952 0.668 0.380
O: 0.668 0.716 0.620
Np: 0.667 0.333 0.250
Mn: 0.000 0.000 0.000
Np: 0.333 0.667 0.750
Na: 0.667 0.333 0.750
O: 0.716 0.048 0.380
O: 0.332 0.284 0.380
O: 0.048 0.716 0.880
Mn: 0.000 0.000 0.500
O: 0.668 0.952 0.880
O: 0.048 0.332 0.620
O: 0.284 0.332 0.880